# PBE NaNi3Se5, relaxed
data_NaNi3Se5
_chemical_formula_sum 'Na1 Ni3 Se5'
_cell_length_a 5.6157
_cell_length_b 5.6157
_cell_length_c 6.7041
_cell_angle_alpha 90.00
_cell_angle_beta 90.00
_cell_angle_gamma 120.00
_space_group_name_H-M_alt 'P 6/m m m'
_space_group_IT_number 191
_space_group_name_Hall '-P 6 2'
loop_
_atom_site_label
_atom_site_type_symbol
_atom_site_fract_x
_atom_site_fract_y
_atom_site_fract_z
_atom_site_occupancy
Na1 Na 0.0000 0.0000 0.0000 1
Ni1 Ni 0.0000 0.5000 0.5000 1
Se1 Se 0.0000 0.0000 0.5000 1
Se2 Se 0.3333 0.6667 0.2465 1
# * uncorrected energy: -37.89 eV for the cell shown
# * V: 20.3 A^3/atom